VASP calculation (PBE) on a relaxed structure of BaCu2B.

Results
DFT total energy: -0.147 Ha/atom
Space group: I4_1/amd, No. 141
ΔH_f (0 K): 200 meV per atom
Volume: 166 Å³/cell
Fermi-level density of states: 0.912 states/eV/atom
Spin magnetization: 0.000 Bohr magnetons per cell

The structure in CIF format:
```
data_BaCu2B
_cell_length_a 5.092
_cell_length_b 5.092
_cell_length_c 7.336
_cell_angle_alpha 69.69
_cell_angle_beta 69.69
_cell_angle_gamma 90.00
_space_group_name_H-M_alt 'P 1'
_space_group_IT_number 1
loop_
_space_group_symop_operation_xyz
'x,y,z'
loop_
_atom_site_label
_atom_site_type_symbol
_atom_site_fract_x
_atom_site_fract_y
_atom_site_fract_z
Ba1 Ba 0.750 0.250 0.500
Cu1 Cu 0.875 0.625 0.750
Cu2 Cu 0.375 0.625 0.750
B1 B 0.250 0.750 0.500
Cu3 Cu 0.375 0.125 0.250
Ba2 Ba 0.000 0.000 0.000
Cu4 Cu 0.375 0.625 0.250
B2 B 0.500 0.500 0.000
```